Density functional theory data (PBE with a Hubbard U) for a geometry-optimized Rb2CrCl2F4 structure.

Properties
Its raw total energy is -40.8 eV for the cell shown. Its space group is I4/mmm.

POSCAR file:
```
Rb2CrCl2F4
1.0
-3.364 3.364 4.428
3.364 -3.364 4.428
3.364 3.364 -4.428
Rb Cr Cl F
2 1 2 4
Cartesian
3.364 0.000 2.214 Rb
0.000 3.364 2.214 Rb
0.000 0.000 0.000 Cr
0.000 0.000 2.353 Cl
0.000 0.000 6.502 Cl
1.305 1.305 0.000 F
2.060 -2.060 4.428 F
-2.060 2.060 4.428 F
2.060 2.060 4.428 F
```